VASP calculation (PBE) on a relaxed structure of ZnIr8.

Unit cell a=4.7246 b=4.7246 c=29.1532 alpha=90.17 beta=90.17 gamma=48.14
Last column: nearest neighbours and their distance in Å.
Fractional positions:
Ir: 0.8529 0.8529 0.6339  12 Ir 2.70-2.74
Ir: 0.1542 0.1542 0.6636  1 Zn 2.67, 11 Ir 2.67-2.75
Ir: 0.7479 0.7479 0.7210  6 Ir 2.67-2.72, 3 Zn 2.69-2.73
Ir: 0.1471 0.1471 0.3661  12 Ir 2.70-2.74
Ir: 0.5505 0.5505 0.3069  2 Zn 2.66, 9 Ir 2.69-2.75
Ir: 0.9512 0.9512 0.5446  12 Ir 2.72-2.74
Ir: 0.4465 0.4465 0.3961  12 Ir 2.72-2.75
Ir: 0.4495 0.4495 0.6931  2 Zn 2.66, 9 Ir 2.69-2.75
Ir: 0.3496 0.3496 0.4856  12 Ir 2.72-2.75
Ir: 0.2521 0.2521 0.2790  6 Ir 2.67-2.72, 3 Zn 2.69-2.73
Ir: 0.6504 0.6504 0.5144  12 Ir 2.72-2.75
Ir: 0.8458 0.8458 0.3364  1 Zn 2.67, 11 Ir 2.67-2.75
Ir: 0.7474 0.7474 0.4255  12 Ir 2.72-2.75
Ir: 0.0488 0.0488 0.4554  12 Ir 2.72-2.74
Ir: 0.5535 0.5535 0.6039  12 Ir 2.72-2.75
Ir: 0.2526 0.2526 0.5745  12 Ir 2.72-2.75
Zn: 0.9548 0.9548 0.2507  6 Ir 2.66-2.73
Zn: 0.0452 0.0452 0.7493  6 Ir 2.66-2.73

Output
The calculation puts the formation enthalpy at 0 K at 4.0 kcal/mol of atoms.

=====

VASP calculation (PBE) on a relaxed structure of ZrBeTcSb.

Unit cell a=4.5398 b=4.5398 c=4.5398 alpha=60.00 beta=60.00 gamma=60.00
Last column: nearest neighbours and their distance in Å.
Fractional positions:
Tc: 0.2500 0.2500 0.2500  4 Zr 2.78, 4 Sb 2.78
Sb: 0.5000 0.5000 0.5000  4 Tc 2.78, 4 Be 2.78
Be: 0.7500 0.7500 0.7500  4 Zr 2.78, 4 Sb 2.78
Zr: 0.0000 0.0000 0.0000  4 Tc 2.78, 4 Be 2.78

Output
The value obtained for the energy relative to the lowest polymorph listed for this composition is 0 meV/atom.

=====

VASP calculation (PBE) on a relaxed structure of LiPmAsO.

Unit cell a=4.7160 b=4.7160 c=7.0717 alpha=90.00 beta=90.00 gamma=90.00
Last column: nearest neighbours and their distance in Å.
Fractional positions:
Li: 0.7500 0.7500 0.9413  4 O 2.39, 1 As 2.41
Li: 0.2500 0.2500 0.0587  4 O 2.39, 1 As 2.41
Pm: 0.2500 0.7500 0.5000  4 As 2.81
Pm: 0.7500 0.2500 0.5000  4 As 2.81
As: 0.7500 0.7500 0.2828  1 Li 2.41
As: 0.2500 0.2500 0.7172  1 Li 2.41
O: 0.2500 0.7500 0.0000  4 Li 2.39
O: 0.7500 0.2500 0.0000  4 Li 2.39

Output
The value obtained for the energy relative to the lowest polymorph listed for this composition is 1392 meV/atom.

=====

VASP calculation (PBE) on a relaxed structure of HfZnPd.

Unit cell a=3.5182 b=3.5182 c=8.5054 alpha=90.00 beta=90.00 gamma=90.00
Last column: nearest neighbours and their distance in Å.
Fractional positions:
Zn: 0.0000 0.5000 0.9287  4 Zn 2.77, 1 Pd 2.82, 5 Hf 2.87-2.99
Zn: 0.5000 0.0000 0.0713  4 Zn 2.77, 1 Pd 2.82, 5 Hf 2.87-2.99
Pd: 0.5000 0.0000 0.4023  5 Hf 2.75-2.82, 1 Zn 2.82, 4 Pd 2.99
Pd: 0.0000 0.5000 0.5977  5 Hf 2.75-2.82, 1 Zn 2.82, 4 Pd 2.99
Hf: 0.0000 0.5000 0.2658  5 Pd 2.75-2.82, 5 Zn 2.87-2.99
Hf: 0.5000 0.0000 0.7342  5 Pd 2.75-2.82, 5 Zn 2.87-2.99

Output
The calculation puts the formation enthalpy at 0 K at -9.9 kcal/mol of atoms.

=====

VASP calculation (PBE) on a relaxed structure of DyHgNO.

Unit cell a=3.9198 b=6.4457 c=6.7710 alpha=90.00 beta=90.00 gamma=90.00
Last column: nearest neighbours and their distance in Å.
Fractional positions:
Dy: 0.5000 0.4582 0.8590  2 O 2.08-2.09, 2 N 2.32
Dy: 0.5000 0.9582 0.1410  2 O 2.08-2.09, 2 N 2.32
Hg: 0.0000 0.6280 0.4865  2 N 2.05-2.08
Hg: 0.0000 0.1280 0.5135  2 N 2.05-2.08
O: 0.5000 0.7812 0.8838  2 Dy 2.08-2.09
O: 0.5000 0.2812 0.1162  2 Dy 2.08-2.09
N: 0.0000 0.8866 0.3101  2 Hg 2.05-2.08
N: 0.0000 0.3866 0.6899  2 Hg 2.05-2.08

Output
The value obtained for the energy relative to the lowest polymorph listed for this composition is 0 meV/atom.

=====

VASP calculation (PBE) on a relaxed structure of Sm2Si.

Unit cell a=8.0137 b=8.0137 c=4.2722 alpha=90.00 beta=90.00 gamma=120.00
Last column: nearest neighbours and their distance in Å.
Fractional positions:
Sm: 0.0000 0.5904 0.5000  5 Si 3.23-3.28, 6 Sm 3.38-3.59
Sm: 0.0000 0.2643 0.0000  4 Si 2.99-3.01
Sm: 0.4096 0.4096 0.5000  5 Si 3.23-3.28, 6 Sm 3.38-3.59
Sm: 0.5904 0.0000 0.5000  5 Si 3.23-3.28, 6 Sm 3.38-3.59
Sm: 0.2643 0.0000 0.0000  4 Si 2.99-3.01
Sm: 0.7357 0.7357 0.0000  4 Si 2.99-3.01
Si: 0.3333 0.6667 0.0000  9 Sm 2.99-3.23
Si: 0.6667 0.3333 0.0000  9 Sm 2.99-3.23
Si: 0.0000 0.0000 0.5000  9 Sm 3.01-3.28

Output
The calculated total energy is -49.140 eV per cell.